VASP calculation (PBE) on a geometry-optimized Pu6CuGe2 structure.

Calculated values
The space group is P6/mmm (191). As for the spin magnetization: 16.43 μB per cell. As for the total DFT energy (no corrections): -10.78 eV per atom. For the volume, the calculation gives 19.17 Å³/atom. The formation enthalpy at 0 K comes out at 254 meV per atom.

Geometry as CIF:
```
data_Pu6CuGe2
_chemical_formula_sum 'Pu6 Cu1 Ge2'
_symmetry_space_group_name_H-M 'P 1'
_symmetry_Int_Tables_number 1
_cell_length_a 3.5486
_cell_length_b 7.4921
_cell_length_c 7.4921
_cell_angle_alpha 120.00
_cell_angle_beta 90.00
_cell_angle_gamma 90.00
loop_
_symmetry_equiv_pos_as_xyz
'x,y,z'
loop_
_atom_site_label
_atom_site_fract_x
_atom_site_fract_y
_atom_site_fract_z
Pu1 0.5000 0.3323 0.0000
Pu2 0.5000 0.0000 0.6677
Pu3 0.5000 0.0000 0.3323
Pu4 0.5000 0.6677 0.6677
Pu5 0.5000 0.3323 0.3323
Pu6 0.5000 0.6677 0.0000
Cu1 0.0000 0.0000 0.0000
Ge1 0.0000 0.6667 0.3333
Ge2 0.0000 0.3333 0.6667
```


VASP calculation (PBE) on a geometry-optimized Mn2CuSb structure.

Calculated values
The space group is I-42d (122). As for the spin magnetization: 0.00 μB per cell. As for the total DFT energy (no corrections): -6.07 eV per atom. The energy relative to the elements, uncorrected comes out at 2.3 eV per formula unit. For the volume, the calculation gives 15.22 Å³/atom.

Geometry as CIF:
```
data_Mn2CuSb
_chemical_formula_sum 'Mn4 Cu2 Sb2'
_symmetry_space_group_name_H-M 'P 1'
_symmetry_Int_Tables_number 1
_cell_length_a 3.6926
_cell_length_b 3.6926
_cell_length_c 9.3012
_cell_angle_alpha 78.55
_cell_angle_beta 78.55
_cell_angle_gamma 90.00
loop_
_symmetry_equiv_pos_as_xyz
'x,y,z'
loop_
_atom_site_label
_atom_site_fract_x
_atom_site_fract_y
_atom_site_fract_z
Cu1 0.2500 0.7500 0.5000
Cu2 0.5000 0.5000 0.0000
Mn1 0.2136 0.6250 0.2500
Mn2 0.3750 0.4636 0.7500
Mn3 0.5364 0.1250 0.2500
Mn4 0.8750 0.7864 0.7500
Sb1 0.0000 0.0000 0.0000
Sb2 0.7500 0.2500 0.5000
```


VASP calculation (PBE) on a geometry-optimized PaAu3I9 structure.

Calculated values
The space group is Cc (9). As for the spin magnetization: 0.00 μB per cell. As for the total DFT energy (no corrections): -2.98 eV per atom. The energy relative to the elements, uncorrected comes out at -5.5 eV per formula unit. For the volume, the calculation gives 49.90 Å³/atom.

Geometry as CIF:
```
data_PaAu3I9
_chemical_formula_sum 'Pa2 Au6 I18'
_symmetry_space_group_name_H-M 'P 1'
_symmetry_Int_Tables_number 1
_cell_length_a 11.5754
_cell_length_b 11.5754
_cell_length_c 14.7860
_cell_angle_alpha 56.62
_cell_angle_beta 56.62
_cell_angle_gamma 57.17
loop_
_symmetry_equiv_pos_as_xyz
'x,y,z'
loop_
_atom_site_label
_atom_site_fract_x
_atom_site_fract_y
_atom_site_fract_z
I1 0.8735 0.1797 0.0244
I2 0.5631 0.8669 0.2088
I3 0.6990 0.5768 0.5258
I4 0.8197 0.3299 0.3224
I5 0.1577 0.4922 0.8202
I6 0.3299 0.8197 0.8224
I7 0.8669 0.5631 0.7088
I8 0.5768 0.6990 0.0258
I9 0.1797 0.8735 0.5244
I10 0.5514 0.0981 0.7406
I11 0.2367 0.0957 0.0729
I12 0.5495 0.2918 0.9135
I13 0.0981 0.5514 0.2406
I14 0.9101 0.8784 0.3721
I15 0.4922 0.1577 0.3202
I16 0.8784 0.9101 0.8721
I17 0.2918 0.5495 0.4135
I18 0.0957 0.2367 0.5729
Au1 0.1186 0.6240 0.6104
Au2 0.6240 0.1186 0.1104
Au3 0.0801 0.9924 0.9221
Au4 0.9924 0.0801 0.4221
Au5 0.6559 0.2433 0.3214
Au6 0.2433 0.6559 0.8214
Pa1 0.5586 0.9922 0.9675
Pa2 0.9922 0.5586 0.4675
```


VASP calculation (PBE) on a geometry-optimized KPIr2 structure.

Calculated values
The space group is Pmmm (47). As for the spin magnetization: 0.01 μB per cell. As for the total DFT energy (no corrections): -5.12 eV per atom. For the volume, the calculation gives 17.68 Å³/atom. The formation enthalpy at 0 K comes out at 935 meV per atom.

Geometry as CIF:
```
data_KPIr2
_chemical_formula_sum 'K1 P1 Ir2'
_symmetry_space_group_name_H-M 'P 1'
_symmetry_Int_Tables_number 1
_cell_length_a 2.6585
_cell_length_b 4.9922
_cell_length_c 5.3273
_cell_angle_alpha 90.00
_cell_angle_beta 90.00
_cell_angle_gamma 90.00
loop_
_symmetry_equiv_pos_as_xyz
'x,y,z'
loop_
_atom_site_label
_atom_site_fract_x
_atom_site_fract_y
_atom_site_fract_z
P1 0.0000 0.5000 0.5000
Ir1 0.0000 0.0000 0.0000
Ir2 0.5000 0.5000 0.0000
K1 0.5000 0.0000 0.5000
```


VASP calculation (PBE) on a geometry-optimized LiZnGe structure.

Calculated values
The space group is P1 (1). As for the spin magnetization: 0.00 μB per cell. As for the total DFT energy (no corrections): -2.78 eV per atom. For the volume, the calculation gives 17.02 Å³/atom. The formation enthalpy at 0 K comes out at -179 meV per atom.

Geometry as CIF:
```
data_LiZnGe
_chemical_formula_sum 'Li2 Zn2 Ge2'
_symmetry_space_group_name_H-M 'P 1'
_symmetry_Int_Tables_number 1
_cell_length_a 3.9323
_cell_length_b 3.8692
_cell_length_c 6.7106
_cell_angle_alpha 90.05
_cell_angle_beta 90.03
_cell_angle_gamma 90.01
loop_
_symmetry_equiv_pos_as_xyz
'x,y,z'
loop_
_atom_site_label
_atom_site_fract_x
_atom_site_fract_y
_atom_site_fract_z
Ge1 0.1105 0.3732 0.3206
Ge2 0.6100 0.8722 0.7919
Zn1 0.6108 0.3719 0.0590
Zn2 0.1108 0.8719 0.0536
Li1 0.1094 0.3725 0.7188
Li2 0.6101 0.8739 0.3939
```


VASP calculation (PBE) on a geometry-optimized BeHgIN2 structure.

Calculated values
The space group is P4/mmm (123). As for the spin magnetization: 3.55 μB per cell. As for the total DFT energy (no corrections): -3.01 eV per atom. The energy relative to the elements, uncorrected comes out at 7.2 eV per formula unit. For the volume, the calculation gives 18.27 Å³/atom. For the energy above the lowest structure with this stoichiometry, the calculation gives 0 meV/atom.

Geometry as CIF:
```
data_BeHgIN2
_chemical_formula_sum 'Be1 Hg1 I1 N2'
_symmetry_space_group_name_H-M 'P 1'
_symmetry_Int_Tables_number 1
_cell_length_a 3.9898
_cell_length_b 3.9898
_cell_length_c 5.7388
_cell_angle_alpha 90.00
_cell_angle_beta 90.00
_cell_angle_gamma 90.00
loop_
_symmetry_equiv_pos_as_xyz
'x,y,z'
loop_
_atom_site_label
_atom_site_fract_x
_atom_site_fract_y
_atom_site_fract_z
N1 0.0000 0.5000 0.0000
N2 0.5000 0.0000 0.0000
I1 0.0000 0.0000 0.5000
Be1 0.0000 0.0000 0.0000
Hg1 0.5000 0.5000 0.5000
```


VASP calculation (PBE) on a geometry-optimized TmBe6Nb2 structure.

Calculated values
The space group is P6/mmm (191). As for the spin magnetization: 0.00 μB per cell. As for the total DFT energy (no corrections): -5.27 eV per atom. For the volume, the calculation gives 12.84 Å³/atom. The formation enthalpy at 0 K comes out at -55 meV per atom.

Geometry as CIF:
```
data_TmBe6Nb2
_chemical_formula_sum 'Tm1 Be6 Nb2'
_symmetry_space_group_name_H-M 'P 1'
_symmetry_Int_Tables_number 1
_cell_length_a 3.0778
_cell_length_b 6.5837
_cell_length_c 6.5837
_cell_angle_alpha 120.00
_cell_angle_beta 90.00
_cell_angle_gamma 90.00
loop_
_symmetry_equiv_pos_as_xyz
'x,y,z'
loop_
_atom_site_label
_atom_site_fract_x
_atom_site_fract_y
_atom_site_fract_z
Be1 0.5000 0.0000 0.3440
Be2 0.5000 0.6560 0.6560
Be3 0.5000 0.3440 0.0000
Be4 0.5000 0.6560 0.0000
Be5 0.5000 0.0000 0.6560
Be6 0.5000 0.3440 0.3440
Tm1 0.0000 0.0000 0.0000
Nb1 0.0000 0.3333 0.6667
Nb2 0.0000 0.6667 0.3333
```


VASP calculation (PBE) on a geometry-optimized NaCoAgRh2 structure.

Calculated values
The space group is P4/mmm (123). As for the spin magnetization: 3.61 μB per cell. As for the total DFT energy (no corrections): -3.55 eV per atom. For the volume, the calculation gives 22.85 Å³/atom. The formation enthalpy at 0 K comes out at 1650 meV per atom.

Geometry as CIF:
```
data_NaCoAgRh2
_chemical_formula_sum 'Na1 Co1 Ag1 Rh2'
_symmetry_space_group_name_H-M 'P 1'
_symmetry_Int_Tables_number 1
_cell_length_a 4.9055
_cell_length_b 4.7472
_cell_length_c 4.9055
_cell_angle_alpha 90.00
_cell_angle_beta 90.00
_cell_angle_gamma 90.00
loop_
_symmetry_equiv_pos_as_xyz
'x,y,z'
loop_
_atom_site_label
_atom_site_fract_x
_atom_site_fract_y
_atom_site_fract_z
Rh1 0.0000 0.0000 0.5000
Rh2 0.5000 0.0000 0.0000
Ag1 0.0000 0.0000 0.0000
Na1 0.0000 0.5000 0.0000
Co1 0.5000 0.5000 0.5000
```


VASP calculation (PBE) on a geometry-optimized Li2AlHg structure.

Calculated values
The space group is R3m (160). As for the spin magnetization: 0.00 μB per cell. As for the total DFT energy (no corrections): -2.02 eV per atom. For the volume, the calculation gives 19.71 Å³/atom. The formation enthalpy at 0 K comes out at -48 meV per atom.

Geometry as CIF:
```
data_Li2AlHg
_chemical_formula_sum 'Li2 Al1 Hg1'
_symmetry_space_group_name_H-M 'P 1'
_symmetry_Int_Tables_number 1
_cell_length_a 9.6076
_cell_length_b 9.6076
_cell_length_c 9.6076
_cell_angle_alpha 18.60
_cell_angle_beta 18.60
_cell_angle_gamma 18.60
loop_
_symmetry_equiv_pos_as_xyz
'x,y,z'
loop_
_atom_site_label
_atom_site_fract_x
_atom_site_fract_y
_atom_site_fract_z
Hg1 0.7492 0.7492 0.7492
Li1 0.0040 0.0040 0.0040
Li2 0.2455 0.2455 0.2455
Al1 0.5013 0.5013 0.5013
```


VASP calculation (PBE) on a geometry-optimized TcSnHF structure.

Calculated values
The space group is Cm (8). As for the spin magnetization: 1.30 μB per cell. As for the total DFT energy (no corrections): -5.30 eV per atom. For the volume, the calculation gives 15.29 Å³/atom. For the energy above the lowest structure with this stoichiometry, the calculation gives 0 meV/atom.

Geometry as CIF:
```
data_TcSnHF
_chemical_formula_sum 'Tc2 Sn2 H2 F2'
_symmetry_space_group_name_H-M 'P 1'
_symmetry_Int_Tables_number 1
_cell_length_a 3.3490
_cell_length_b 3.2647
_cell_length_c 11.3805
_cell_angle_alpha 90.00
_cell_angle_beta 100.63
_cell_angle_gamma 90.00
loop_
_symmetry_equiv_pos_as_xyz
'x,y,z'
loop_
_atom_site_label
_atom_site_fract_x
_atom_site_fract_y
_atom_site_fract_z
Sn1 0.7587 0.5000 0.3903
Sn2 0.7587 0.0000 0.8903
Tc1 0.3330 0.5000 0.0124
Tc2 0.3330 0.0000 0.5124
F1 0.6479 0.0000 0.7047
F2 0.6479 0.5000 0.2047
H1 0.2972 0.0000 0.0718
H2 0.2972 0.5000 0.5718
```


VASP calculation (PBE) on a geometry-optimized Ca2Pr15Er2 structure.

Calculated values
The space group is R-3m (166). As for the spin magnetization: 0.00 μB per cell. As for the total DFT energy (no corrections): -4.25 eV per atom. For the volume, the calculation gives 37.73 Å³/atom. The formation enthalpy at 0 K comes out at 219 meV per atom.

Geometry as CIF:
```
data_Ca2Pr15Er2
_chemical_formula_sum 'Ca2 Pr15 Er2'
_symmetry_space_group_name_H-M 'P 1'
_symmetry_Int_Tables_number 1
_cell_length_a 9.0525
_cell_length_b 9.0525
_cell_length_c 9.0525
_cell_angle_alpha 80.98
_cell_angle_beta 80.98
_cell_angle_gamma 80.98
loop_
_symmetry_equiv_pos_as_xyz
'x,y,z'
loop_
_atom_site_label
_atom_site_fract_x
_atom_site_fract_y
_atom_site_fract_z
Pr1 0.5000 0.0000 0.0000
Pr2 0.0000 0.0000 0.5000
Pr3 0.6370 0.6370 0.1466
Pr4 0.0000 0.7067 0.2933
Pr5 0.7067 0.0000 0.2933
Pr6 0.0000 0.2933 0.7067
Pr7 0.7067 0.2933 0.0000
Pr8 0.6370 0.1466 0.6370
Pr9 0.8534 0.3630 0.3630
Pr10 0.2933 0.7067 0.0000
Pr11 0.0000 0.5000 0.0000
Pr12 0.1466 0.6370 0.6370
Pr13 0.3630 0.3630 0.8534
Pr14 0.2933 0.0000 0.7067
Pr15 0.3630 0.8534 0.3630
Ca1 0.6705 0.6705 0.6705
Ca2 0.3295 0.3295 0.3295
Er1 0.0945 0.0945 0.0945
Er2 0.9055 0.9055 0.9055
```


VASP calculation (PBE) on a geometry-optimized InSiNi structure.

Calculated values
The space group is P3m1 (156). As for the spin magnetization: 0.00 μB per cell. As for the total DFT energy (no corrections): -4.62 eV per atom. The energy relative to the elements, uncorrected comes out at 0.1 eV per formula unit. For the volume, the calculation gives 16.63 Å³/atom.

Geometry as CIF:
```
data_InSiNi
_chemical_formula_sum 'In1 Si1 Ni1'
_symmetry_space_group_name_H-M 'P 1'
_symmetry_Int_Tables_number 1
_cell_length_a 3.1220
_cell_length_b 3.1220
_cell_length_c 5.9122
_cell_angle_alpha 90.00
_cell_angle_beta 90.00
_cell_angle_gamma 120.00
loop_
_symmetry_equiv_pos_as_xyz
'x,y,z'
loop_
_atom_site_label
_atom_site_fract_x
_atom_site_fract_y
_atom_site_fract_z
In1 0.0000 0.0000 0.0175
Si1 0.6667 0.3333 0.6123
Ni1 0.3333 0.6667 0.3702
```